# Ac2BeAsO6

A relaxed Ac2BeAsO6 crystal (PBE, Alexandria).

Cell: 5.5094 5.5094 29.4334 Å, 90.00 90.00 120.00°
Space group R-3m (No. 166, hexagonal axes)
Asymmetric unit:
Ac  0.0000  0.0000  0.1280 x6
Ac  0.0000  0.0000  0.2716 x6
Be  0.0000  0.0000  0.3857 x6
As  0.0000  0.0000  0.0000 x3
As  0.0000  0.0000  0.5000 x3
O  0.0043  0.5021  0.1318 x18
O  0.0094  0.5047  0.2860 x18

Calculated values
crystal system = trigonal
uncorrected formation energy = -2.527 eV/atom

# AcBe2AsO6

A relaxed AcBe2AsO6 crystal (PBE, Alexandria).

Cell: 8.8375 10.8145 5.4714 Å, 90.00 109.59 90.00°
Space group C2/c (No. 15)
Asymmetric unit:
Ac  0.0000  0.1416  0.2500 x4
Be  0.2438  0.0715  0.8472 x8
As  0.0000  0.3101  0.7500 x4
O  0.0686  0.3795  0.0466 x8
O  0.1491  0.2134  0.7168 x8
O  0.1846  0.0144  0.0787 x8

Calculated values
crystal system = monoclinic
uncorrected formation energy = -2.362 eV/atom

# Ac2BeAsPd6

A relaxed Ac2BeAsPd6 crystal (PBE, Alexandria).

Cell: 6.0917 6.1026 7.1372 Å, 64.99 64.81 60.09°
Space group P-1 (No. 2)
Asymmetric unit:
Ac  0.2317  0.2332  0.3026 x2
Be  0.0000  0.0000  0.0000 x1
As  0.5000  0.5000  0.5000 x1
Pd  0.2387  0.2369  0.8132 x2
Pd  0.2386  0.7075  0.8160 x2
Pd  0.2886  0.7627  0.1867 x2

Calculated values
crystal system = triclinic
DFT formation energy = -715 meV per atom

# Ac2BeAs4Pd3

A relaxed Ac2BeAs4Pd3 crystal (PBE, Alexandria).

Cell: 4.5147 4.5147 10.0300 Å, 90.00 90.00 90.00°
Space group P-4m2 (No. 115)
Asymmetric unit:
Ac  0.0000  0.5000  0.2494 x2
Be  0.5000  0.5000  0.0000 x1
As  0.0000  0.0000  0.5000 x1
As  0.0000  0.5000  0.8764 x2
As  0.5000  0.5000  0.5000 x1
Pd  0.0000  0.0000  0.0000 x1
Pd  0.0000  0.5000  0.6208 x2

Calculated values
crystal system = tetragonal
DFT formation energy = -789 meV per atom

Number 1: V 12.90 A^3/atom. Number 2: V 12.32 A^3/atom. Number 3: V 20.05 A^3/atom. Number 4: V 20.44 A^3/atom.